Compound: CsCu2Se2
Source: Alexandria
Functional: PBE-GGA
Structure: relaxed

It has space group P4/mmm (No. 123), with a = 3.9127 Å, b = 3.9127 Å, c = 8.0902 Å, α = 90.00°, β = 90.00° and γ = 90.00°. Symmetry generates all atoms from Cs at (0.0000, 0.0000, 0.0000), Cu at (0.0000, 0.5000, 0.5000) and Se at (0.5000, 0.5000, 0.2993).

---

Compound: LiY4Pu3S8
Source: Alexandria
Functional: PBE-GGA
Structure: relaxed

It has space group R-3m (No. 166, hexagonal axes), with a = 7.8497 Å, b = 7.8497 Å, c = 19.2546 Å, α = 90.00°, β = 90.00° and γ = 120.00°. Symmetry generates all atoms from Li at (0.0000, 0.0000, 0.0000), Y at (0.0000, 0.0000, 0.5000), Y at (0.0000, 0.5000, 0.5000), Pu at (0.0000, 0.5000, 0.0000), S at (0.0000, 0.0000, 0.2495) and S at (0.0048, 0.5024, 0.7502).

---

Compound: CaAc2IrO8
Source: Alexandria
Functional: PBE-GGA
Structure: relaxed

It has space group P-1 (No. 2), with a = 4.3649 Å, b = 6.2361 Å, c = 6.8156 Å, α = 91.49°, β = 94.28° and γ = 102.06°. Symmetry generates all atoms from Ca at (0.0000, 0.0000, 0.0000), Ac at (0.2552, 0.5372, 0.7565), Ir at (0.0000, 0.0000, 0.5000), O at (0.1838, 0.8450, 0.3140), O at (0.2207, 0.3601, 0.0664), O at (0.2660, 0.9371, 0.7204) and O at (0.2805, 0.2764, 0.4653).

---

no.,E_tot (eV/cell),uncorrected formation energy (meV/atom),Fermi-level density of states (states/eV/f.u.)
1,-18.1,-411,4.055
2,-401.9,-1886,24.114
3,-83.4,-2050,4.213